Entry 1:
CePmSmZr GGA-PBE relaxed; E = -5.729 eV/atom; density of states at the Fermi level = 10.4 states/eV/f.u.
1.0
0.000 3.892 3.892
3.892 0.000 3.892
3.892 3.892 0.000
Ce Pm Sm Zr
1 1 1 1
direct
0.000 0.000 0.000
0.500 0.500 0.500
0.250 0.250 0.250
0.750 0.750 0.750

Entry 2:
TmZnGe2 GGA-PBE relaxed; E = -4.204 eV/atom; density of states at the Fermi level = 1.1 states/eV/f.u.
1.0
-2.023 2.023 9.284
2.023 -2.023 9.284
2.023 2.023 -9.284
Tm Zn Ge
2 2 4
direct
0.115 0.115 0.000
0.885 0.885 0.000
0.250 0.750 0.500
0.750 0.250 0.500
0.000 0.500 0.500
0.345 0.345 0.000
0.500 0.000 0.500
0.655 0.655 0.000

Entry 3:
ZnIn2Ni7As2 GGA-PBE relaxed; E = -4.826 eV/atom; density of states at the Fermi level = 6.4 states/eV/f.u.
1.0
2.599 -2.585 0.000
2.599 2.585 0.000
-1.642 0.000 13.250
Zn In Ni As
1 2 7 2
direct
0.000 0.000 0.000
0.109 0.109 0.393
0.891 0.891 0.607
0.039 0.540 0.132
0.388 0.388 0.581
0.460 0.961 0.868
0.500 0.500 0.000
0.540 0.039 0.132
0.612 0.612 0.419
0.961 0.460 0.868
0.427 0.427 0.759
0.573 0.573 0.241

In the order shown, the computed ΔE_f values come out to 100 -177 -135 kJ/mol of formula units.